No. 1
Here is a relaxed NaHgRu2O crystal from the Alexandria database. Energies are from PBE.

The structure in extended XYZ format:
```
5
Lattice="4.874 0.000 0.000 0.000 4.874 0.000 0.000 0.000 3.860" Properties=species:S:1:pos:R:3 pbc="T T T"
Na 0.000 0.000 0.000
Hg 2.437 2.437 1.930
Ru 0.000 2.437 0.000
Ru 2.437 0.000 0.000
O 0.000 0.000 1.930
```

Output
formation energy without anion corrections: 1.560 eV/atom



No. 2
Here is a relaxed CoIr2Os crystal from the Alexandria database. Energies are from PBE.

The structure in extended XYZ format:
```
4
Lattice="2.706 0.000 0.000 0.000 3.767 0.000 0.000 0.000 5.343" Properties=species:S:1:pos:R:3 pbc="T T T"
Co 0.000 0.000 0.000
Ir 1.353 1.884 1.304
Ir 1.353 1.884 4.039
Os 0.000 0.000 2.672
```

Output
E above lowest polymorph: 0.0 meV per atom
ΔH_f (0 K): 0.020 eV per atom



No. 3
Here is a relaxed Tb5Pm3Ho2 crystal from the Alexandria database. Energies are from PBE.

The structure in extended XYZ format:
```
20
Lattice="-5.604 8.884 3.365 5.604 -8.884 3.365 5.604 8.884 -3.365" Properties=species:S:1:pos:R:3 pbc="T T T"
Tb 5.604 -3.213 1.683
Tb 1.115 3.016 0.000
Tb 0.000 0.000 1.683
Tb 6.718 5.868 0.000
Tb 5.604 3.213 1.683
Tb 0.000 5.671 1.683
Tb -1.115 3.016 3.365
Tb 0.000 0.000 5.048
Tb 4.489 5.868 3.365
Tb 0.000 12.097 1.683
Pm 8.859 3.042 0.000
Pm 5.604 0.000 1.683
Pm 3.256 5.842 0.000
Pm 2.348 3.042 3.365
Pm 0.000 8.884 1.683
Pm -3.256 5.842 3.365
Ho 2.956 0.469 0.000
Ho 2.956 -0.469 3.365
Ho 2.648 9.352 0.000
Ho 2.648 8.415 3.365
```

Output
E above lowest polymorph: 65.0 meV per atom
ΔH_f (0 K): 0.258 eV per atom



No. 4
Here is a relaxed SrNd5S8 crystal from the Alexandria database. Energies are from PBE.

The structure in extended XYZ format:
```
14
Lattice="-4.320 4.320 4.321 4.320 -4.320 4.321 4.320 4.320 -4.321" Properties=species:S:1:pos:R:3 pbc="T T T"
Sr 0.000 0.000 0.000
Nd 5.391 2.153 -1.102
Nd 4.320 0.000 2.160
Nd 2.153 3.248 1.102
Nd -1.071 2.166 3.219
Nd 2.166 1.071 5.423
S 2.841 0.649 -0.438
S 2.773 3.675 -1.666
S 3.670 -1.479 4.759
S 1.547 0.645 2.654
S 4.964 2.773 1.666
S 0.649 5.798 0.438
S -0.645 1.547 5.987
S 1.479 3.670 3.883
```

Output
formation energy without anion corrections: -2.050 eV/atom



No. 5
Here is a relaxed Nb6CrRe5 crystal from the Alexandria database. Energies are from PBE.

The structure in extended XYZ format:
```
12
Lattice="-2.259 3.196 6.774 2.259 -3.196 6.774 2.259 3.196 -6.774" Properties=species:S:1:pos:R:3 pbc="T T T"
Nb 2.259 1.586 -2.239
Nb 0.000 1.575 0.000
Nb 2.259 1.586 2.239
Nb 0.000 1.609 4.535
Nb 0.000 4.816 0.000
Nb 0.000 1.609 9.012
Cr 2.259 0.000 0.000
Re 0.000 0.000 2.260
Re 2.259 0.000 4.519
Re 0.000 0.000 6.774
Re 0.000 3.196 2.255
Re 0.000 0.000 11.287
```

Output
ΔH_f (0 K): -0.238 eV per atom



No. 6
Here is a relaxed Hf3H2Rh crystal from the Alexandria database. Energies are from PBE.

The structure in extended XYZ format:
```
12
Lattice="10.163 -1.691 0.000 10.163 1.691 0.000 -0.186 0.000 5.077" Properties=species:S:1:pos:R:3 pbc="T T T"
Hf 1.203 0.000 1.011
Hf 6.034 0.000 3.817
Hf 8.683 0.000 1.478
Hf 11.459 0.000 3.599
Hf 14.107 0.000 1.260
Hf 18.938 0.000 4.066
H 4.099 0.000 4.987
H 9.461 0.000 3.321
H 10.680 0.000 1.756
H 16.042 0.000 0.090
Rh 3.345 0.000 3.351
Rh 16.796 0.000 1.726
```

Output
total energy: -7.683 eV/atom



No. 7
Here is a relaxed LaTbDyLu crystal from the Alexandria database. Energies are from PBE.

The structure in extended XYZ format:
```
4
Lattice="0.000 4.037 4.037 4.037 0.000 4.037 4.037 4.037 0.000" Properties=species:S:1:pos:R:3 pbc="T T T"
La 0.000 0.000 0.000
Tb 4.037 4.037 4.037
Dy 6.056 6.056 6.056
Lu 2.019 2.019 2.019
```

Output
ΔH_f (0 K): 0.103 eV per atom



No. 8
Here is a relaxed BaAg4F12 crystal from the Alexandria database. Energies are from PBE.

The structure in extended XYZ format:
```
17
Lattice="-4.270 4.270 4.270 4.270 -4.270 4.270 4.270 4.270 -4.270" Properties=species:S:1:pos:R:3 pbc="T T T"
Ba 0.000 0.000 0.000
Ag 2.135 2.135 -2.135
Ag 2.135 -2.135 2.135
Ag -2.135 2.135 2.135
Ag 2.135 2.135 2.135
F 4.270 2.256 -2.256
F 4.270 -2.256 2.256
F 2.256 4.270 -2.256
F 2.014 2.014 0.000
F 2.014 0.000 2.014
F 2.256 -2.256 4.270
F 0.000 2.014 2.014
F 4.270 2.256 2.256
F -2.256 4.270 2.256
F -2.256 2.256 4.270
F 2.256 4.270 2.256
F 2.256 2.256 4.270
```

Output
formation energy without anion corrections: -1.602 eV/atom